A plane-wave DFT calculation with PBE+U was carried out for LiFeF4 after structural relaxation.

Cell: 6.5394 3.9638 12.5736 Å, 90.00 110.09 90.00°
Space group P2_1/c (No. 14)
Asymmetric unit:
1 Li 0.1493 0.0290 0.1079 x4
2 Fe 0.3513 0.2474 0.8891 x4
3 F 0.1316 0.2065 0.9583 x4
4 F 0.1577 0.2394 0.2425 x4
5 F 0.3944 0.7456 0.6459 x4
6 F 0.4072 0.7441 0.9307 x4

Values from the calculation:
Energy relative to the lowest polymorph listed for this composition = 68.0 meV per atom
Total DFT energy (no corrections) = -5.082 eV/atom
Calculated volume = 12.75 Å³/atom
Magnetization = 4.97 μB/f.u.